# 1
The following is a DFT calculation (PBE) of a relaxed Cs2ZnPtF6 crystal.

Results
* space-group type: Fm-3m, No. 225
* uncorrected formation energy: -2.016 eV per atom

a b c (Å): 6.2159 6.2159 6.2157
angles (deg): 60.00 60.00 90.00
With the nearest neighbours (Å) after each atom.
Sites, in units of the cell vectors:
1 F 0.2609 0.2609 0.0000  1 Zn 2.10, 1 Pt 2.29
2 F 0.7391 0.2609 0.0000  1 Zn 2.10, 1 Pt 2.29
3 F 0.2609 0.7391 0.0000  1 Zn 2.10, 1 Pt 2.29
4 F 0.7391 0.7391 0.0000  1 Zn 2.10, 1 Pt 2.29
5 Cs 0.2500 0.7500 0.5000  12 F 3.11
6 F 0.2604 0.2604 0.4793  1 Zn 2.11, 1 Pt 2.29
7 F 0.7396 0.7396 0.5207  1 Zn 2.11, 1 Pt 2.29
8 Pt 0.0000 0.0000 0.0000  6 F 2.29
9 Zn 0.5000 0.5000 0.0000  6 F 2.10-2.11
10 Cs 0.7500 0.2500 0.5000  12 F 3.11

---

# 2
The following is a DFT calculation (PBE) of a relaxed CsZnPtF6 crystal.

Results
* space-group type: C2, No. 5
* uncorrected formation energy: -1.944 eV per atom

a b c (Å): 5.7267 5.5740 6.5202
angles (deg): 89.48 88.90 59.03
With the nearest neighbours (Å) after each atom.
Sites, in units of the cell vectors:
1 Zn 0.6765 0.6467 0.5001  6 F 1.98-2.16
2 F 0.0143 0.6213 0.6616  1 Pt 2.02, 1 Zn 2.16
3 F 0.6317 0.3958 0.6937  1 Zn 1.98
4 F 0.3609 0.0046 0.6603  1 Pt 2.01, 1 Zn 2.14
5 F 0.9728 0.3947 0.3066  1 Zn 1.98
6 F 0.6350 0.0038 0.3396  1 Pt 2.01, 1 Zn 2.14
7 Cs 0.0064 0.9873 0.9999  6 F 2.97-3.01
8 F 0.3647 0.6206 0.3382  1 Pt 2.02, 1 Zn 2.16
9 Pt 0.3375 0.3253 0.4999  4 F 2.01-2.02

---

# 3
The following is a DFT calculation (PBE) of a relaxed Cs4Pu6F19 crystal.

Results
* space-group type: I23, No. 197
* uncorrected formation energy: -3.229 eV per atom

a b c (Å): 9.6972 9.6972 9.6972
angles (deg): 109.47 109.47 109.47
With the nearest neighbours (Å) after each atom.
Sites, in units of the cell vectors:
1 Pu 0.8302 0.3302 0.5000  6 F 2.36-2.39
2 F 0.3702 0.3702 0.0000  2 Pu 2.39
3 F 0.6873 0.3041 0.9629  2 Pu 2.36
4 Cs 0.0000 0.0000 0.7086  4 F 2.83-3.15
5 F 0.6589 0.6959 0.3832  2 Pu 2.36
6 F 0.6959 0.3832 0.6589  2 Pu 2.36
7 F 0.6168 0.3127 0.2756  2 Pu 2.36
8 Pu 0.1698 0.6698 0.5000  6 F 2.36-2.39
9 Pu 0.3302 0.5000 0.8302  6 F 2.36-2.39
10 F 0.3127 0.2756 0.6168  2 Pu 2.36
11 Pu 0.5000 0.8302 0.3302  6 F 2.36-2.39
12 F 0.0000 0.3702 0.3702  2 Pu 2.39
13 F 0.3702 0.0000 0.3702  2 Pu 2.39
14 F 0.0000 0.0000 0.0000  4 Cs 2.83
15 F 0.7244 0.0371 0.3411  2 Pu 2.36
16 F 0.9629 0.6873 0.3041  2 Pu 2.36
17 F 0.3832 0.6589 0.6959  2 Pu 2.36
18 Cs 0.0000 0.7086 0.0000  4 F 2.83-3.15
19 Pu 0.5000 0.1698 0.6698  6 F 2.36-2.39
20 F 0.3041 0.9629 0.6873  2 Pu 2.36
21 F 0.0371 0.3411 0.7244  2 Pu 2.36
22 F 0.2756 0.6168 0.3127  2 Pu 2.36
23 F 0.3411 0.7244 0.0371  2 Pu 2.36
24 F 0.0000 0.6298 0.6298  2 Pu 2.39
25 F 0.6298 0.6298 0.0000  2 Pu 2.39
26 F 0.6298 0.0000 0.6298  2 Pu 2.39
27 Cs 0.7086 0.0000 0.0000  4 F 2.83-3.15
28 Cs 0.2914 0.2914 0.2914  4 F 2.83-3.15
29 Pu 0.6698 0.5000 0.1698  6 F 2.36-2.39

---

# 4
The following is a DFT calculation (PBE) of a relaxed Cs2PuF5 crystal.

Results
* space-group type: Pnma, No. 62
* uncorrected formation energy: -3.207 eV per atom

a b c (Å): 7.2787 7.9781 12.1673
angles (deg): 90.00 90.00 90.00
With the nearest neighbours (Å) after each atom.
Sites, in units of the cell vectors:
1 F 0.3828 0.7500 0.3388  1 Pu 2.29
2 Cs 0.0368 0.5016 0.3316  8 F 2.98-3.32
3 F 0.3677 0.2500 0.0161  1 Pu 2.34
4 F 0.6422 0.4688 0.4328  2 Pu 2.38-2.48
5 Pu 0.9522 0.7500 0.9993  7 F 2.29-2.48
6 F 0.8578 0.0312 0.9328  2 Pu 2.38-2.48
7 F 0.8575 0.7500 0.1784  1 Pu 2.29
8 F 0.3578 0.9688 0.5672  2 Pu 2.38-2.48
9 F 0.3575 0.2500 0.3216  1 Pu 2.29
10 F 0.8677 0.7500 0.4839  1 Pu 2.34
11 Cs 0.0368 0.9984 0.3316  8 F 2.98-3.32
12 Pu 0.4522 0.2500 0.5007  7 F 2.29-2.48
13 F 0.6422 0.0312 0.4328  2 Pu 2.38-2.48
14 Pu 0.5478 0.7500 0.4993  7 F 2.29-2.48
15 F 0.6425 0.7500 0.6784  1 Pu 2.29
16 F 0.1172 0.7500 0.8388  1 Pu 2.29
17 Cs 0.9632 0.0016 0.6684  8 F 2.98-3.32
18 F 0.1422 0.9688 0.0672  2 Pu 2.38-2.48
19 Cs 0.5368 0.4984 0.1684  8 F 2.98-3.32
20 F 0.6172 0.2500 0.6612  1 Pu 2.29
21 F 0.1425 0.2500 0.8216  1 Pu 2.29
22 Cs 0.4632 0.9984 0.8316  8 F 2.98-3.32
23 Cs 0.4632 0.5016 0.8316  8 F 2.98-3.32
24 Pu 0.0478 0.2500 0.0007  7 F 2.29-2.48
25 F 0.1422 0.5312 0.0672  2 Pu 2.38-2.48
26 F 0.6323 0.7500 0.9839  1 Pu 2.34
27 F 0.3578 0.5312 0.5672  2 Pu 2.38-2.48
28 F 0.1323 0.2500 0.5161  1 Pu 2.34
29 Cs 0.9632 0.4984 0.6684  8 F 2.98-3.32
30 F 0.8828 0.2500 0.1612  1 Pu 2.29
31 F 0.8578 0.4688 0.9328  2 Pu 2.38-2.48
32 Cs 0.5368 0.0016 0.1684  8 F 2.98-3.32